#one
Computed, not measured: a geometry-optimized Hf2Si2H structure at the PBE level of DFT.

The structure belongs to space group P4/mbm (No. 127); the cell edges are 6.440, 6.440 and 3.918 Å and the angles 90.00°, 90.00° and 90.00°. The distinct sites, in fractional coordinates, are Hf at (0.180, 0.320, 0.000), Si at (0.128, 0.628, 0.500) and H at (0.000, 0.000, 0.000).

The value obtained for the spin magnetization is 0.000 μB per formula unit. The value obtained for the density of states at the Fermi level is 0.325 states/eV/atom.

=====

#two
Computed, not measured: a geometry-optimized Hf2Si2H structure at the PBE level of DFT.

The structure belongs to space group I4/mmm (No. 139); the cell edges are 3.361, 3.361 and 14.580 Å and the angles 90.00°, 90.00° and 90.00°. The distinct sites, in fractional coordinates, are Hf at (0.000, 0.000, 0.102), Si at (0.000, 0.500, 0.250) and H at (0.000, 0.000, 0.500).

The value obtained for the spin magnetization is 0.613 μB per formula unit. The value obtained for the density of states at the Fermi level is 0.724 states/eV/atom.

=====

Which structure loses on stability? #two does.

=====

#one
Computed, not measured: a geometry-optimized HfSi2H structure at the PBE level of DFT.

The structure belongs to space group I4_1/amd (No. 141, origin choice 2); the cell edges are 4.768, 4.768 and 9.853 Å and the angles 90.00°, 90.00° and 90.00°. The distinct sites, in fractional coordinates, are Hf at (0.000, 0.250, 0.375), Si at (0.000, 0.000, 0.000) and H at (0.000, 0.250, 0.875).

The value obtained for the spin magnetization is 0.000 μB per formula unit. The value obtained for the density of states at the Fermi level is 0.248 states/eV/atom.

=====

#two
Computed, not measured: a geometry-optimized HfSi2H structure at the PBE level of DFT.

The structure belongs to space group Fm-3m (No. 225); the cell edges are 6.254, 6.254 and 6.254 Å and the angles 90.00°, 90.00° and 90.00°. The distinct sites, in fractional coordinates, are Hf at (0.000, 0.000, 0.000), Si at (0.250, 0.250, 0.250) and H at (0.000, 0.000, 0.500).

The value obtained for the spin magnetization is 0.000 μB per formula unit. The value obtained for the density of states at the Fermi level is 0.725 states/eV/atom.

=====

Which structure loses on stability? #two does.